(1)
Material: Mn2AlHg
Method: DFT, GGA-PBE
State: optimized geometry

Summary:
ΔE to the lowest computed polymorph in meV/atom: 98
Uncorrected energy in hartree per atom: -0.19822
E_form in kJ/mol of atoms: 19.5
Density of states at the Fermi level in states/eV/f.u.: 3.2
Density in Mg/m³: 8.7

a = 3.640 Å, b = 4.034 Å, c = 8.724 Å
α = 90.00°, β = 90.00°, γ = 90.00°
Space group Imm2 (No. 44)
Inequivalent atoms, fractional coordinates:
Mn1 0.000 0.000 0.000 (multiplicity 2)
Mn2 0.000 0.500 0.252 (multiplicity 2)
Al1 0.000 0.500 0.749 (multiplicity 2)
Hg1 0.000 0.000 0.499 (multiplicity 2)

***

(2)
Material: Zn2AsSe
Method: DFT, GGA-PBE
State: optimized geometry

Summary:
Uncorrected energy in hartree per atom: -0.09500
Density of states at the Fermi level in states/eV/f.u.: 1.5
Density in Mg/m³: 6.1
ΔE_f (raw) in eV/atom: 0.09

a = 3.552 Å, b = 3.761 Å, c = 11.632 Å
α = 90.00°, β = 90.00°, γ = 90.00°
Space group Imm2 (No. 44)
Inequivalent atoms, fractional coordinates:
Zn1 0.000 0.000 0.000 (multiplicity 2)
Zn2 0.000 0.500 0.179 (multiplicity 2)
As1 0.000 0.000 0.462 (multiplicity 2)
Se1 0.000 0.500 0.750 (multiplicity 2)